[1]
A plane-wave DFT calculation with PBE was carried out for a relaxed structure of DySn2As2Rh7.

Values from the calculation:
D(E_F)   9.29 states/eV per cell
DFT total energy   -77.4 eV for the cell shown
Crystal system   monoclinic
DFT formation energy   -0.334 eV per atom

Structure (extended XYZ):
```
12
Lattice="3.916 0.005 -0.070 0.010 3.916 -0.070 1.653 1.651 14.295" Properties=species:S:1:pos:R:3 pbc="T T T"
Rh 1.616 3.571 12.104
Rh 2.127 2.125 5.979
Rh 3.962 2.001 2.052
Rh 3.573 1.612 12.104
Rh 3.451 3.447 8.177
Rh 2.006 3.960 2.052
Rh 1.963 1.960 -0.070
As 2.031 2.028 3.525
As 3.548 3.543 10.631
Sn 4.100 4.095 5.586
Sn 1.478 1.477 8.570
Dy 0.000 0.000 0.000
```

***

[2]
A plane-wave DFT calculation with PBE was carried out for a relaxed structure of Sr2DyAs3Rh4.

Values from the calculation:
D(E_F)   4.00 states/eV per cell
DFT total energy   -59.7 eV for the cell shown
Crystal system   tetragonal
DFT formation energy   -0.835 eV per atom

Structure (extended XYZ):
```
10
Lattice="4.225 0.000 0.000 0.000 4.225 0.000 0.000 0.000 11.275" Properties=species:S:1:pos:R:3 pbc="T T T"
Rh 2.112 2.112 0.000
Rh 2.112 0.000 7.397
Rh 0.000 0.000 0.000
Rh 0.000 2.112 3.878
Dy 2.112 2.112 5.637
As 2.112 0.000 9.864
As 0.000 0.000 5.637
As 0.000 2.112 1.411
Sr 2.112 0.000 2.632
Sr 0.000 2.112 8.643
```

***

[3]
A plane-wave DFT calculation with PBE was carried out for a relaxed structure of TbDyAs2Rh5.

Values from the calculation:
D(E_F)   5.26 states/eV per cell
DFT total energy   -62.4 eV for the cell shown
Crystal system   tetragonal
DFT formation energy   -0.793 eV per atom

Structure (extended XYZ):
```
9
Lattice="4.233 0.000 0.000 0.000 4.233 0.000 0.000 0.000 8.798" Properties=species:S:1:pos:R:3 pbc="T T T"
Rh 0.000 2.117 2.355
Rh 0.000 2.117 6.443
Rh 2.117 0.000 2.355
Rh 2.117 0.000 6.443
Rh 2.117 2.117 4.399
Dy 0.000 0.000 0.000
As 2.117 2.117 7.514
As 2.117 2.117 1.284
Tb 0.000 0.000 4.399
```

***

[4]
A plane-wave DFT calculation with PBE was carried out for a relaxed structure of Dy6Te3AsRh2.

Values from the calculation:
D(E_F)   7.69 states/eV per cell
DFT total energy   -70.3 eV for the cell shown
Crystal system   monoclinic
E_form (uncorrected)   -1163 meV/atom

Structure (extended XYZ):
```
12
Lattice="-3.487 -4.636 -4.290 5.358 -2.326 4.236 -5.340 1.045 5.257" Properties=species:S:1:pos:R:3 pbc="T T T"
Rh -0.542 -3.867 -1.451
Rh 2.413 -3.095 1.397
Dy -4.310 -4.856 2.636
Dy 0.237 -4.846 1.068
Dy -3.705 -1.071 4.134
Dy -2.200 -1.855 -0.365
Dy 0.841 -1.061 2.566
Dy -1.269 -4.062 5.567
Te -4.714 -3.737 -0.271
Te 1.245 -2.180 5.473
Te -1.734 -2.958 2.601
As 0.000 0.000 0.000
```